1.
VASP calculation (PBE) on an optimized crystal structure of Co2Cu2I.

a = 3.4922 Å, b = 3.4922 Å, c = 7.1540 Å
α = 75.87°, β = 75.87°, γ = 90.00°
Element x y z (fractional)
I  0.0000  0.0000  0.0000
Co  0.7500  0.2500  0.5000
Co  0.2500  0.7500  0.5000
Cu  0.3854  0.3854  0.2292
Cu  0.6146  0.6146  0.7708

Values from the calculation:
Its crystal system is tetragonal. For the uncorrected formation energy, the calculation gives 613 meV/atom. The volume is 16.38 A^3/atom. The space-group type is I4/mmm (139).

2.
VASP calculation (PBE) on an optimized crystal structure of Co2Cu2I.

a = 6.7138 Å, b = 6.7138 Å, c = 3.4432 Å
α = 90.00°, β = 90.00°, γ = 90.00°
Element x y z (fractional)
I  0.0000  0.0000  0.0000
I  0.5000  0.5000  0.0000
Co  0.1358  0.6358  0.5000
Co  0.6358  0.8642  0.5000
Co  0.8642  0.3642  0.5000
Co  0.3642  0.1358  0.5000
Cu  0.3653  0.8653  0.0000
Cu  0.8653  0.6347  0.0000
Cu  0.6347  0.1347  0.0000
Cu  0.1347  0.3653  0.0000

Values from the calculation:
Its crystal system is tetragonal. For the uncorrected formation energy, the calculation gives 729 meV/atom. The volume is 15.52 A^3/atom. The space-group type is P4/mbm (127).

3.
VASP calculation (PBE) on an optimized crystal structure of CoCu2I.

a = 4.5433 Å, b = 4.5433 Å, c = 4.5433 Å
α = 60.00°, β = 60.00°, γ = 60.00°
Element x y z (fractional)
I  0.5000  0.5000  0.5000
Co  0.0000  0.0000  0.0000
Cu  0.2500  0.2500  0.2500
Cu  0.7500  0.7500  0.7500

Values from the calculation:
Its crystal system is cubic. For the uncorrected formation energy, the calculation gives 877 meV/atom. The volume is 16.58 A^3/atom. The space-group type is Fm-3m (225).

4.
VASP calculation (PBE) on an optimized crystal structure of CoCu2I5.

a = 6.9141 Å, b = 7.5048 Å, c = 7.5052 Å
α = 67.03°, β = 62.56°, γ = 62.56°
Element x y z (fractional)
Co  0.9601  0.0347  0.0347
Cu  0.6666  0.6211  0.9437
Cu  0.6667  0.9437  0.6212
I  0.6175  0.2782  0.2782
I  0.0531  0.3529  0.7850
I  0.0531  0.7850  0.3529
I  0.3284  0.7920  0.7920
I  0.6544  0.9694  0.9694

Values from the calculation:
Its crystal system is monoclinic. For the uncorrected formation energy, the calculation gives -35 meV/atom. The volume is 37.35 A^3/atom. The space-group type is Cm (8).

5.
VASP calculation (PBE) on an optimized crystal structure of CoCu3I.

a = 4.5560 Å, b = 4.5560 Å, c = 4.5560 Å
α = 90.00°, β = 90.00°, γ = 90.00°
Element x y z (fractional)
I  0.5000  0.5000  0.5000
Co  0.0000  0.0000  0.0000
Cu  0.0000  0.5000  0.0000
Cu  0.0000  0.0000  0.5000
Cu  0.5000  0.0000  0.0000

Values from the calculation:
Its crystal system is cubic. For the uncorrected formation energy, the calculation gives 933 meV/atom. The volume is 18.91 A^3/atom. The space-group type is Pm-3m (221).

6.
VASP calculation (PBE) on an optimized crystal structure of CoCuI.

a = 3.8694 Å, b = 5.7576 Å, c = 6.7622 Å
α = 115.10°, β = 106.80°, γ = 90.00°
Element x y z (fractional)
Co  0.5005  0.1945  0.5011
Co  0.4995  0.8055  0.4989
Cu  0.8937  0.8977  0.2903
Cu  0.1063  0.1023  0.7097
I  0.6638  0.6650  0.8287
I  0.3362  0.3350  0.1713

Values from the calculation:
Its crystal system is triclinic. For the uncorrected formation energy, the calculation gives 381 meV/atom. The volume is 21.55 A^3/atom. The space-group type is P-1 (2).

7.
VASP calculation (PBE) on an optimized crystal structure of CoCuI4.

a = 6.2316 Å, b = 6.2316 Å, c = 11.3239 Å
α = 90.00°, β = 90.00°, γ = 90.00°
Element x y z (fractional)
Co  0.0000  0.5000  0.2500
Co  0.5000  0.0000  0.7500
Cu  0.0000  0.0000  0.0000
Cu  0.0000  0.0000  0.5000
I  0.2600  0.2360  0.8751
I  0.7400  0.7640  0.8751
I  0.2360  0.2600  0.3751
I  0.2600  0.7640  0.6249
I  0.7400  0.2360  0.6249
I  0.2360  0.7400  0.1249
I  0.7640  0.2600  0.1249
I  0.7640  0.7400  0.3751

Values from the calculation:
Its crystal system is tetragonal. For the uncorrected formation energy, the calculation gives -84 meV/atom. The volume is 36.64 A^3/atom. The space-group type is P-42c (112).

8.
VASP calculation (PBE) on an optimized crystal structure of La6Co2CuI3.

a = 7.2828 Å, b = 7.2828 Å, c = 8.5796 Å
α = 98.08°, β = 98.08°, γ = 120.12°
Element x y z (fractional)
La  0.9375  0.5843  0.8154
La  0.7082  0.7082  0.1839
La  0.0625  0.4157  0.1846
La  0.5843  0.9375  0.8154
La  0.2918  0.2918  0.8161
La  0.4157  0.0625  0.1846
Co  0.3331  0.6669  0.0000
Co  0.6669  0.3331  0.0000
Cu  0.0000  0.0000  0.0000
I  0.1644  0.8356  0.5000
I  0.8356  0.1644  0.5000
I  0.5000  0.5000  0.5000

Values from the calculation:
Its crystal system is monoclinic. For the uncorrected formation energy, the calculation gives -662 meV/atom. The volume is 31.48 A^3/atom. The space-group type is C2/m (12).

9.
VASP calculation (PBE) on an optimized crystal structure of La4CoCuI2.

a = 4.3118 Å, b = 7.2390 Å, c = 8.5153 Å
α = 106.02°, β = 90.00°, γ = 90.00°
Element x y z (fractional)
La  0.5000  0.2574  0.1851
La  0.5000  0.7426  0.8149
La  0.0000  0.2756  0.8135
La  0.0000  0.7244  0.1865
Co  0.5000  0.5000  0.0000
Cu  0.0000  0.0000  0.0000
I  0.5000  0.0000  0.5000
I  0.0000  0.5000  0.5000

Values from the calculation:
Its crystal system is monoclinic. For the uncorrected formation energy, the calculation gives -630 meV/atom. The volume is 31.93 A^3/atom. The space-group type is P2/m (10).

10.
VASP calculation (PBE) on an optimized crystal structure of La8CoCu3I4.

a = 8.5415 Å, b = 9.4901 Å, c = 8.5669 Å
α = 116.92°, β = 119.90°, γ = 90.00°
Element x y z (fractional)
La  0.2220  0.6916  0.9704
La  0.2232  0.6924  0.4465
La  0.2660  0.2981  0.5320
La  0.7485  0.6916  0.9704
La  0.2515  0.3084  0.0296
La  0.7340  0.7019  0.4680
La  0.7768  0.3076  0.5535
La  0.7780  0.3084  0.0296
Co  0.0000  0.5000  0.0000
Cu  0.5000  0.5000  0.0000
Cu  0.5000  0.5000  0.5000
Cu  0.0000  0.5000  0.5000
I  0.5000  0.0000  0.0000
I  0.5000  0.0000  0.5000
I  0.0000  0.0000  0.0000
I  0.0000  0.0000  0.5000

Values from the calculation:
Its crystal system is monoclinic. For the uncorrected formation energy, the calculation gives -588 meV/atom. The volume is 32.09 A^3/atom. The space-group type is C2/m (12).

11.
VASP calculation (PBE) on an optimized crystal structure of CoCuI2N.

a = 5.5278 Å, b = 5.5278 Å, c = 3.6597 Å
α = 90.00°, β = 90.00°, γ = 90.00°
Element x y z (fractional)
I  0.0000  0.5000  0.0000
I  0.5000  0.0000  0.0000
Co  0.5000  0.5000  0.5000
Cu  0.0000  0.0000  0.0000
N  0.0000  0.0000  0.5000

Values from the calculation:
Its crystal system is tetragonal. For the uncorrected formation energy, the calculation gives 1123 meV/atom. The volume is 22.37 A^3/atom. The space-group type is P4/mmm (123).

12.
VASP calculation (PBE) on an optimized crystal structure of CoCuI2N.

a = 5.4092 Å, b = 5.4092 Å, c = 3.4572 Å
α = 90.00°, β = 90.00°, γ = 90.00°
Element x y z (fractional)
I  0.0000  0.5000  0.0000
I  0.5000  0.0000  0.0000
Co  0.0000  0.0000  0.0000
Cu  0.5000  0.5000  0.5000
N  0.0000  0.0000  0.5000

Values from the calculation:
Its crystal system is tetragonal. For the uncorrected formation energy, the calculation gives 593 meV/atom. The volume is 20.23 A^3/atom. The space-group type is P4/mmm (123).

13.
VASP calculation (PBE) on an optimized crystal structure of CoCuIN2.

a = 3.5866 Å, b = 3.5866 Å, c = 7.8900 Å
α = 90.00°, β = 90.00°, γ = 90.00°
Element x y z (fractional)
I  0.0000  0.0000  0.5000
Co  0.0000  0.0000  0.0000
Cu  0.5000  0.5000  0.5000
N  0.0000  0.5000  0.0000
N  0.5000  0.0000  0.0000

Values from the calculation:
Its crystal system is tetragonal. For the uncorrected formation energy, the calculation gives 1046 meV/atom. The volume is 20.30 A^3/atom. The space-group type is P4/mmm (123).

14.
VASP calculation (PBE) on an optimized crystal structure of CoCuIN2.

a = 3.7433 Å, b = 3.7433 Å, c = 6.9123 Å
α = 90.00°, β = 90.00°, γ = 90.00°
Element x y z (fractional)
I  0.0000  0.0000  0.5000
Co  0.5000  0.5000  0.5000
Cu  0.0000  0.0000  0.0000
N  0.0000  0.5000  0.0000
N  0.5000  0.0000  0.0000

Values from the calculation:
Its crystal system is tetragonal. For the uncorrected formation energy, the calculation gives 1691 meV/atom. The volume is 19.37 A^3/atom. The space-group type is P4/mmm (123).